This record from Alexandria describes an optimized crystal structure of GaP2. The functional is PBE.

Geometry as POSCAR:
```
GaP2
1.0
-1.295 5.807 0.145
-1.011 -0.335 4.369
9.482 -1.154 2.106
P Ga
8 4
Direct
0.579 0.000 0.164 P
0.773 0.500 0.506 P
0.478 0.500 0.137 P
0.237 0.500 0.913 P
0.237 0.000 0.413 P
0.773 0.000 0.006 P
0.579 0.500 0.664 P
0.478 0.000 0.637 P
0.834 0.500 0.916 Ga
0.358 0.000 0.849 Ga
0.834 0.000 0.416 Ga
0.358 0.500 0.349 Ga
```

Values from the calculation:
Crystal system: monoclinic
Total magnetization in μB/atom: 0.000
Energy in eV/atom: -4.65
Formation energy in meV per atom: -32
Excess energy over the best structure of this formula in the dataset in meV per atom: 69

This record from Alexandria describes an optimized crystal structure of GaP2. The functional is PBE.

Geometry as POSCAR:
```
GaP2
1.0
-2.279 3.822 1.023
-0.377 -0.457 5.425
3.557 3.913 1.722
P Ga
4 2
Direct
0.249 0.359 0.975 P
0.448 0.695 0.377 P
0.525 0.978 0.571 P
0.060 0.177 0.748 P
0.852 0.348 0.385 Ga
0.607 0.958 0.982 Ga
```

Values from the calculation:
Crystal system: triclinic
Total magnetization in μB/atom: 0.000
Energy in eV/atom: -4.66
Formation energy in meV per atom: -41
Excess energy over the best structure of this formula in the dataset in meV per atom: 60

This record from Alexandria describes an optimized crystal structure of GaP2. The functional is PBE.

Geometry as POSCAR:
```
GaP2
1.0
-1.553 -3.166 1.897
-0.888 -3.912 -3.394
5.952 -3.725 -1.087
Ga P
2 4
Direct
0.251 0.924 0.386 Ga
0.910 0.619 0.870 Ga
0.813 0.387 0.203 P
0.832 0.334 0.685 P
0.869 0.635 0.385 P
0.260 0.911 0.730 P
```

Values from the calculation:
Crystal system: triclinic
Total magnetization in μB/atom: 0.000
Energy in eV/atom: -4.70
Formation energy in meV per atom: -89
Excess energy over the best structure of this formula in the dataset in meV per atom: 12